No. 1
DFT (PBE) results for a relaxed structure of Tl2NiPb.

abc: 3.3313 3.3313 8.9884
angles: 90.00 90.00 90.02
Fractional coordinates of all 4 atoms:
Ni 0.0000 0.0000 0.4967
Pb 0.5000 0.5000 0.6784
Tl 0.0000 0.0000 0.0134
Tl 0.5000 0.5000 0.3115

Results
The formation energy is 0.1558 eV per atom. As for the energy above the most stable polymorph in this dataset: 0 meV per atom. The symmetry is P4mm (99). Its magnetization is 0.00 μB/cell.

---

No. 2
DFT (PBE) results for a relaxed structure of La6Pm8Sm.

abc: 8.9168 8.9168 8.9168
angles: 63.16 63.16 63.16
Fractional coordinates of all 15 atoms:
La 0.9042 0.4636 0.7625
La 0.2375 0.0958 0.5364
La 0.5364 0.2375 0.0958
La 0.4636 0.7625 0.9042
La 0.7625 0.9042 0.4636
La 0.0958 0.5364 0.2375
Pm 0.1135 0.7081 0.7585
Pm 0.2415 0.8865 0.2919
Pm 0.2919 0.2415 0.8865
Pm 0.5771 0.5771 0.5771
Pm 0.4229 0.4229 0.4229
Pm 0.7081 0.7585 0.1135
Pm 0.7585 0.1135 0.7081
Pm 0.8865 0.2919 0.2415
Sm 0.0000 0.0000 0.0000

Results
The formation energy is 0.1031 eV per atom. The symmetry is R-3 (148). Its magnetization is 0.00 μB/cell.